i) The following is a DFT calculation (PBE) of AlGaCu2Se4 after structural relaxation.

Output
crystal system	tetragonal
size of the total moment	0.0	μB per cell

abc: 6.883 6.883 6.883
angles: 131.42 131.42 71.14
Fractional positions:
Al  0.000  0.000  0.000
Ga  0.250  0.750  0.500
Cu  0.500  0.500  0.000
Cu  0.750  0.250  0.500
Se  0.124  0.128  0.500
Se  0.376  0.876  0.005
Se  0.629  0.624  0.500
Se  0.872  0.371  0.995

---

ii) The following is a DFT calculation (PBE) of AlGaCu2Se4 after structural relaxation.

Output
crystal system	tetragonal
size of the total moment	0.0	μB per cell

abc: 6.942 6.942 6.942
angles: 132.35 132.35 69.68
Fractional positions:
Al  0.000  0.000  0.000
Ga  0.500  0.500  0.000
Cu  0.250  0.750  0.500
Cu  0.750  0.250  0.500
Se  0.119  0.625  0.000
Se  0.375  0.375  0.495
Se  0.625  0.119  0.000
Se  0.881  0.881  0.505

---

Q: Which of them is the least stable? A: ii).

---

i) The following is a DFT calculation (PBE) of SrAlGaCu2 after structural relaxation.

Output
crystal system	orthorhombic
size of the total moment	0.0	μB per cell

abc: 6.102 6.102 6.102
angles: 139.04 138.53 59.70
Fractional positions:
Sr  0.000  0.000  0.000
Al  0.257  0.757  0.500
Ga  0.619  0.619  0.000
Cu  0.379  0.379  0.000
Cu  0.747  0.247  0.500

---

ii) The following is a DFT calculation (PBE) of SrAlGaCu2 after structural relaxation.

Output
crystal system	tetragonal
size of the total moment	0.0	μB per cell

abc: 4.737 4.737 4.899
angles: 90.00 90.00 90.00
Fractional positions:
Sr  0.000  0.000  0.000
Al  0.500  0.500  0.000
Ga  0.500  0.500  0.500
Cu  0.000  0.500  0.500
Cu  0.500  0.000  0.500

---

Q: Which of them is the least stable? A: ii).

---

i) The following is a DFT calculation (PBE) of AlCu2Ge2 after structural relaxation.

Output
crystal system	tetragonal
size of the total moment	0.0	μB per cell

abc: 6.412 6.412 6.412
angles: 146.01 146.01 48.83
Fractional positions:
Al  0.000  0.000  0.000
Cu  0.399  0.399  0.000
Cu  0.601  0.601  0.000
Ge  0.250  0.750  0.500
Ge  0.750  0.250  0.500

---

ii) The following is a DFT calculation (PBE) of AlCu2Ge2 after structural relaxation.

Output
crystal system	tetragonal
size of the total moment	0.0	μB per cell

abc: 6.915 6.915 3.312
angles: 90.00 90.00 90.00
Fractional positions:
Al  0.000  0.000  0.000
Al  0.500  0.500  0.000
Cu  0.128  0.372  0.000
Cu  0.372  0.872  0.000
Cu  0.628  0.128  0.000
Cu  0.872  0.628  0.000
Ge  0.174  0.674  0.500
Ge  0.326  0.174  0.500
Ge  0.674  0.826  0.500
Ge  0.826  0.326  0.500

---

iii) The following is a DFT calculation (PBE) of AlCu2Ge2 after structural relaxation.

Output
crystal system	tetragonal
size of the total moment	0.0	μB per cell

abc: 7.761 7.761 2.654
angles: 90.00 90.00 90.00
Fractional positions:
Al  0.000  0.000  0.000
Al  0.500  0.500  0.000
Cu  0.150  0.350  0.500
Cu  0.350  0.850  0.500
Cu  0.650  0.150  0.500
Cu  0.850  0.650  0.500
Ge  0.146  0.646  0.000
Ge  0.354  0.146  0.000
Ge  0.646  0.854  0.000
Ge  0.854  0.354  0.000

---

Q: Which of them is the least stable? A: i).

---

i) The following is a DFT calculation (PBE) of AlCu6Ge after structural relaxation.

Output
crystal system	tetragonal
size of the total moment	0.0	μB per cell

abc: 5.243 5.243 3.694
angles: 90.00 90.00 90.00
Fractional positions:
Al  0.000  0.000  0.000
Cu  0.000  0.500  0.000
Cu  0.248  0.248  0.500
Cu  0.248  0.752  0.500
Cu  0.500  0.000  0.000
Cu  0.752  0.248  0.500
Cu  0.752  0.752  0.500
Ge  0.500  0.500  0.000

---

ii) The following is a DFT calculation (PBE) of AlCu6Ge after structural relaxation.

Output
crystal system	monoclinic
size of the total moment	0.0	μB per cell

abc: 4.350 4.350 6.742
angles: 104.68 104.68 68.93
Fractional positions:
Al  0.000  0.000  0.000
Cu  0.054  0.563  0.196
Cu  0.135  0.135  0.422
Cu  0.437  0.946  0.804
Cu  0.563  0.054  0.196
Cu  0.865  0.865  0.578
Cu  0.946  0.437  0.804
Ge  0.500  0.500  0.500

---

Q: Which of them is the least stable? A: ii).

---

i) The following is a DFT calculation (PBE) of Al2Cu8Ge after structural relaxation.

Output
crystal system	monoclinic
size of the total moment	0.0	μB per cell

abc: 7.192 7.192 4.425
angles: 106.88 106.88 124.21
Fractional positions:
Al  0.186  0.814  0.000
Al  0.814  0.186  0.000
Cu  0.059  0.059  0.303
Cu  0.121  0.399  0.782
Cu  0.307  0.693  0.500
Cu  0.399  0.121  0.782
Cu  0.601  0.879  0.218
Cu  0.693  0.307  0.500
Cu  0.879  0.601  0.218
Cu  0.941  0.941  0.697
Ge  0.500  0.500  0.500

---

ii) The following is a DFT calculation (PBE) of Al2Cu8Ge after structural relaxation.

Output
crystal system	monoclinic
size of the total moment	0.0	μB per cell

abc: 6.868 6.868 5.910
angles: 106.31 106.31 31.62
Fractional positions:
Al  0.221  0.221  0.146
Al  0.779  0.779  0.854
Cu  0.042  0.042  0.225
Cu  0.141  0.141  0.688
Cu  0.320  0.320  0.590
Cu  0.407  0.407  0.049
Cu  0.593  0.593  0.951
Cu  0.680  0.680  0.410
Cu  0.859  0.859  0.312
Cu  0.958  0.958  0.775
Ge  0.500  0.500  0.500

---

Q: Which of them is the least stable? A: i).

---

i) The following is a DFT calculation (PBE) of AlCuH2 after structural relaxation.

Output
crystal system	cubic
size of the total moment	0.0	μB per cell

abc: 3.677 3.677 3.677
angles: 60.00 60.00 60.00
Fractional positions:
Al  0.000  0.000  0.000
Cu  0.500  0.500  0.500
H  0.250  0.250  0.250
H  0.750  0.750  0.750

---

ii) The following is a DFT calculation (PBE) of AlCuH2 after structural relaxation.

Output
crystal system	tetragonal
size of the total moment	0.0	μB per cell

abc: 5.089 5.089 5.089
angles: 128.17 128.17 76.35
Fractional positions:
Al  0.000  0.000  0.000
Al  0.750  0.250  0.500
Cu  0.250  0.750  0.500
Cu  0.500  0.500  0.000
H  0.202  0.625  0.077
H  0.375  0.452  0.577
H  0.548  0.125  0.923
H  0.875  0.798  0.423

---

Q: Which of them is the least stable? A: i).

---

i) The following is a DFT calculation (PBE) of AlCuNi2H after structural relaxation.

Output
crystal system	tetragonal
size of the total moment	0.0	μB per cell

abc: 3.657 3.657 3.658
angles: 90.00 90.00 90.00
Fractional positions:
Al  0.000  0.000  0.000
Cu  0.500  0.500  0.000
Ni  0.000  0.500  0.500
Ni  0.500  0.000  0.500
H  0.500  0.500  0.500

---

ii) The following is a DFT calculation (PBE) of AlCuNi2H after structural relaxation.

Output
crystal system	tetragonal
size of the total moment	0.0	μB per cell

abc: 3.595 3.595 3.799
angles: 90.00 90.00 90.00
Fractional positions:
Al  0.000  0.000  0.000
Cu  0.500  0.500  0.000
Ni  0.000  0.500  0.500
Ni  0.500  0.000  0.500
H  0.000  0.000  0.500

---

Q: Which of them is the least stable? A: ii).

---

i) The following is a DFT calculation (PBE) of Ti2AlCuH after structural relaxation.

Output
crystal system	tetragonal
size of the total moment	0.0	μB per cell

abc: 3.865 3.865 4.203
angles: 90.00 90.00 90.00
Fractional positions:
Ti  0.000  0.500  0.000
Ti  0.500  0.000  0.000
Al  0.000  0.000  0.500
Cu  0.500  0.500  0.500
H  0.000  0.000  0.000

---

ii) The following is a DFT calculation (PBE) of Ti2AlCuH after structural relaxation.

Output
crystal system	tetragonal
size of the total moment	0.0	μB per cell

abc: 3.976 3.976 3.952
angles: 90.00 90.00 90.00
Fractional positions:
Ti  0.000  0.500  0.000
Ti  0.500  0.000  0.000
Al  0.000  0.000  0.500
Cu  0.500  0.500  0.500
H  0.500  0.500  0.000

---

Q: Which of them is the least stable? A: i).

---

i) The following is a DFT calculation (PBE) of Hf2Al2Cu after structural relaxation.

Output
crystal system	tetragonal
size of the total moment	0.0	μB per cell

abc: 6.364 6.364 4.326
angles: 90.00 90.00 90.00
Fractional positions:
Hf  0.166  0.334  0.000
Hf  0.334  0.834  0.000
Hf  0.666  0.166  0.000
Hf  0.834  0.666  0.000
Al  0.141  0.641  0.500
Al  0.359  0.141  0.500
Al  0.641  0.859  0.500
Al  0.859  0.359  0.500
Cu  0.000  0.000  0.500
Cu  0.500  0.500  0.500

---

ii) The following is a DFT calculation (PBE) of Hf2Al2Cu after structural relaxation.

Output
crystal system	orthorhombic
size of the total moment	0.0	μB per cell

abc: 8.783 8.783 5.519
angles: 90.00 90.00 155.55
Fractional positions:
Hf  0.007  0.993  0.500
Hf  0.218  0.782  0.469
Hf  0.782  0.218  0.969
Hf  0.993  0.007  0.000
Al  0.161  0.839  0.954
Al  0.392  0.608  0.740
Al  0.608  0.392  0.240
Al  0.839  0.161  0.454
Cu  0.389  0.611  0.213
Cu  0.611  0.389  0.713

---

Q: Which of them is the least stable? A: ii).

---

i) The following is a DFT calculation (PBE) of AlCu2Hg after structural relaxation.

Output
crystal system	trigonal
size of the total moment	0.0	μB per cell

abc: 8.702 8.702 8.702
angles: 19.33 19.33 19.33
Fractional positions:
Al  0.000  0.000  0.000
Cu  0.258  0.258  0.258
Cu  0.742  0.742  0.742
Hg  0.500  0.500  0.500

---

ii) The following is a DFT calculation (PBE) of AlCu2Hg after structural relaxation.

Output
crystal system	tetragonal
size of the total moment	0.0	μB per cell

abc: 4.810 4.810 4.810
angles: 131.82 131.82 70.51
Fractional positions:
Al  0.000  0.000  0.000
Cu  0.250  0.750  0.500
Cu  0.500  0.500  0.000
Hg  0.750  0.250  0.500

---

iii) The following is a DFT calculation (PBE) of AlCu2Hg after structural relaxation.

Output
crystal system	trigonal
size of the total moment	0.0	μB per cell

abc: 8.516 8.516 8.516
angles: 20.24 20.24 20.24
Fractional positions:
Al  0.000  0.000  0.000
Cu  0.259  0.259  0.259
Cu  0.519  0.519  0.519
Hg  0.763  0.763  0.763

---

Q: Which of them is the least stable? A: iii).

---

i) The following is a DFT calculation (PBE) of AlCu2Hg after structural relaxation.

Output
crystal system	monoclinic
size of the total moment	0.0	μB per cell

abc: 4.601 4.601 4.935
angles: 101.60 101.60 37.92
Fractional positions:
Al  0.000  0.000  0.000
Cu  0.262  0.262  0.790
Cu  0.738  0.738  0.210
Hg  0.500  0.500  0.500

---

ii) The following is a DFT calculation (PBE) of AlCu2Hg after structural relaxation.

Output
crystal system	monoclinic
size of the total moment	0.0	μB per cell

abc: 2.951 4.335 4.796
angles: 90.00 90.28 90.00
Fractional positions:
Al  0.000  0.000  0.000
Cu  0.501  0.500  0.124
Cu  0.503  0.000  0.437
Hg  0.003  0.500  0.625

---

iii) The following is a DFT calculation (PBE) of AlCu2Hg after structural relaxation.

Output
crystal system	tetragonal
size of the total moment	0.0	μB per cell

abc: 4.734 4.734 4.734
angles: 130.13 130.13 73.19
Fractional positions:
Al  0.000  0.000  0.000
Cu  0.250  0.750  0.500
Cu  0.750  0.250  0.500
Hg  0.500  0.500  0.000

---

iv) The following is a DFT calculation (PBE) of AlCu2Hg after structural relaxation.

Output
crystal system	orthorhombic
size of the total moment	0.0	μB per cell

abc: 3.032 3.254 6.105
angles: 90.00 90.00 90.00
Fractional positions:
Al  0.000  0.000  0.000
Cu  0.500  0.500  0.213
Cu  0.500  0.500  0.787
Hg  0.000  0.000  0.500

---

Q: Which of them is the least stable? A: i).